Entry a
Below is crystalline TmCuAu at its relaxed geometry, with properties calculated at the PBE level.

```
data_TmCuAu
_chemical_formula_sum 'Tm1 Cu1 Au1'
_cell_length_a 5.083
_cell_length_b 5.083
_cell_length_c 5.083
_cell_angle_alpha 138.54
_cell_angle_beta 138.54
_cell_angle_gamma 60.07
_space_group_name_H-M_alt 'P 1'
_space_group_IT_number 1
loop_
_space_group_symop_operation_xyz
'x,y,z'
loop_
_atom_site_label
_atom_site_type_symbol
_atom_site_fract_x
_atom_site_fract_y
_atom_site_fract_z
Tm1 Tm 0.000 0.000 0.000
Cu1 Cu 0.668 0.668 0.000
Au1 Au 0.331 0.331 0.000
```

***

Entry b
Below is crystalline TmCuAu at its relaxed geometry, with properties calculated at the PBE level.

```
data_TmCuAu
_chemical_formula_sum 'Tm2 Cu2 Au2'
_cell_length_a 6.675
_cell_length_b 6.675
_cell_length_c 4.594
_cell_angle_alpha 90.00
_cell_angle_beta 90.00
_cell_angle_gamma 146.11
_space_group_name_H-M_alt 'P 1'
_space_group_IT_number 1
loop_
_space_group_symop_operation_xyz
'x,y,z'
loop_
_atom_site_label
_atom_site_type_symbol
_atom_site_fract_x
_atom_site_fract_y
_atom_site_fract_z
Tm1 Tm 0.099 0.901 0.750
Tm2 Tm 0.901 0.099 0.250
Cu1 Cu 0.239 0.761 0.250
Cu2 Cu 0.761 0.239 0.750
Au1 Au 0.410 0.590 0.750
Au2 Au 0.590 0.410 0.250
```

***

Stability order, top to bottom: entry a, entry b